{
  "formula": "MnCd2Cu",
  "functional": "PBE",
  "state": "optimized geometry",
  "lattice": [[3.123, 0.000, 0.000], [0.000, 3.121, 0.000], [0.000, 0.000, 7.061]],
  "species": ["Cd", "Cd", "Cu", "Mn"],
  "frac_coords": [[0.000, 0.000, 0.014], [0.000, 0.000, 0.486], [0.500, 0.500, 0.250], [0.500, 0.500, 0.750]],
  "relative_energy_mev_per_atom": 50,
  "ef_ev_per_atom": 0.19,
  "space_group": "P4/mmm, No. 123"
}

{
  "formula": "MnCd2Cu",
  "functional": "PBE",
  "state": "optimized geometry",
  "lattice": [[-1.791, 1.674, 3.885], [-2.588, 3.794, -0.111], [-4.523, -0.282, 0.752]],
  "species": ["Mn", "Cu", "Cd", "Cd"],
  "frac_coords": [[0.000, 0.000, 0.000], [0.500, 0.500, 0.500], [0.250, 0.250, 0.250], [0.750, 0.750, 0.750]],
  "relative_energy_mev_per_atom": 53,
  "ef_ev_per_atom": 0.19,
  "space_group": "Fm-3m, No. 225"
}

{
  "formula": "MnCd2Cu2",
  "functional": "PBE",
  "state": "optimized geometry",
  "lattice": [[7.016, 0.000, 0.000], [0.000, 7.016, 0.000], [0.000, 0.000, 3.415]],
  "species": ["Mn", "Mn", "Cu", "Cu", "Cu", "Cu", "Cd", "Cd", "Cd", "Cd"],
  "frac_coords": [[0.000, 0.000, 0.000], [0.500, 0.500, 0.000], [0.373, 0.873, 0.000], [0.873, 0.627, 0.000], [0.627, 0.127, 0.000], [0.127, 0.373, 0.000], [0.172, 0.672, 0.500], [0.672, 0.828, 0.500], [0.828, 0.328, 0.500], [0.328, 0.172, 0.500]],
  "ef_ev_per_atom": 0.23,
  "space_group": "P4/mbm, No. 127"
}

{
  "formula": "MnCdCu",
  "functional": "PBE",
  "state": "optimized geometry",
  "lattice": [[4.457, 0.000, 0.000], [-2.229, 3.860, 0.000], [0.000, 0.000, 2.767]],
  "species": ["Cd", "Cu", "Mn"],
  "frac_coords": [[0.000, 0.000, 0.055], [0.667, 0.333, 0.320], [0.333, 0.667, 0.625]],
  "relative_energy_mev_per_atom": 79,
  "ef_ev_per_atom": 0.27,
  "space_group": "P3m1, No. 156"
}

{
  "formula": "Mn4CdCu",
  "functional": "PBE",
  "state": "optimized geometry",
  "lattice": [[0.000, 3.411, 3.411], [3.411, 0.000, 3.411], [3.411, 3.411, 0.000]],
  "species": ["Mn", "Mn", "Mn", "Mn", "Cd", "Cu"],
  "frac_coords": [[0.877, 0.374, 0.374], [0.374, 0.374, 0.877], [0.374, 0.877, 0.374], [0.374, 0.374, 0.374], [0.750, 0.750, 0.750], [0.000, 0.000, 0.000]],
  "ef_ev_per_atom": 0.45,
  "space_group": "F-43m, No. 216"
}

{
  "formula": "MnCd2Cu",
  "functional": "PBE",
  "state": "optimized geometry",
  "lattice": [[9.691, 0.051, 0.030], [9.229, 2.956, 0.030], [9.229, 1.467, 2.567]],
  "species": ["Cd", "Cd", "Cu", "Mn"],
  "frac_coords": [[0.008, 0.008, 0.008], [0.240, 0.240, 0.240], [0.493, 0.493, 0.493], [0.759, 0.759, 0.759]],
  "relative_energy_mev_per_atom": 90,
  "ef_ev_per_atom": 0.23,
  "space_group": "R3m, No. 160"
}

{
  "formula": "MnCd2Cu",
  "functional": "PBE",
  "state": "optimized geometry",
  "lattice": [[7.437, 0.000, 0.000], [0.000, 7.437, 0.000], [3.719, 3.719, 2.776]],
  "species": ["Mn", "Mn", "Cu", "Cu", "Cd", "Cd", "Cd", "Cd"],
  "frac_coords": [[0.500, 0.500, 0.000], [0.250, 0.750, 0.500], [0.000, 0.000, 0.000], [0.750, 0.250, 0.500], [0.646, 0.125, 0.250], [0.104, 0.625, 0.250], [0.375, 0.354, 0.750], [0.875, 0.896, 0.750]],
  "relative_energy_mev_per_atom": 319,
  "ef_ev_per_atom": 0.46,
  "space_group": "I-42d, No. 122"
}

{
  "formula": "MnCd2Cu",
  "functional": "PBE",
  "state": "optimized geometry",
  "lattice": [[-1.978, 1.749, -1.645], [-0.796, -2.456, -1.655], [-6.101, -3.998, 3.088]],
  "species": ["Cd", "Cd", "Cu", "Mn"],
  "frac_coords": [[0.000, 0.023, 0.976], [0.500, 0.216, 0.286], [0.000, 0.476, 0.525], [0.500, 0.786, 0.713]],
  "relative_energy_mev_per_atom": 0,
  "ef_ev_per_atom": 0.14,
  "space_group": "Pm, No. 6"
}

{
  "formula": "MnCd2Cu",
  "functional": "PBE",
  "state": "optimized geometry",
  "lattice": [[-2.297, 4.311, 0.050], [-4.118, 2.351, -1.174], [-2.503, -0.488, 4.504]],
  "species": ["Cd", "Cd", "Cu", "Mn"],
  "frac_coords": [[0.003, 0.003, 0.995], [0.497, 0.497, 0.505], [0.750, 0.750, 0.750], [0.250, 0.250, 0.250]],
  "relative_energy_mev_per_atom": 113,
  "ef_ev_per_atom": 0.25,
  "space_group": "C2/m, No. 12"
}

What is the formula in the fifth record? Mn4CdCu

Which formula does entry 9 have? MnCd2Cu